VASP calculation (GGA-PBE) on a relaxed structure of Nb6Fe23.

```
data_Nb6Fe23
_chemical_formula_sum 'Nb6 Fe23'
_symmetry_space_group_name_H-M 'P 1'
_symmetry_Int_Tables_number 1
_cell_length_a 8.015
_cell_length_b 8.015
_cell_length_c 8.015
_cell_angle_alpha 60.00
_cell_angle_beta 60.00
_cell_angle_gamma 60.00
loop_
_symmetry_equiv_pos_as_xyz
'x,y,z'
loop_
_atom_site_label
_atom_site_type_symbol
_atom_site_fract_x
_atom_site_fract_y
_atom_site_fract_z
Nb1 Nb 0.202 0.202 0.798
Nb2 Nb 0.202 0.798 0.202
Nb3 Nb 0.202 0.798 0.798
Nb4 Nb 0.798 0.202 0.202
Nb5 Nb 0.798 0.202 0.798
Nb6 Nb 0.798 0.798 0.202
Fe1 Fe 0.000 0.000 0.500
Fe2 Fe 0.000 0.500 0.000
Fe3 Fe 0.000 0.500 0.500
Fe4 Fe 0.138 0.621 0.621
Fe5 Fe 0.170 0.170 0.170
Fe6 Fe 0.170 0.170 0.490
Fe7 Fe 0.170 0.490 0.170
Fe8 Fe 0.379 0.379 0.379
Fe9 Fe 0.379 0.379 0.862
Fe10 Fe 0.379 0.862 0.379
Fe11 Fe 0.490 0.170 0.170
Fe12 Fe 0.500 0.000 0.000
Fe13 Fe 0.500 0.000 0.500
Fe14 Fe 0.500 0.500 0.000
Fe15 Fe 0.500 0.500 0.500
Fe16 Fe 0.510 0.830 0.830
Fe17 Fe 0.621 0.138 0.621
Fe18 Fe 0.621 0.621 0.138
Fe19 Fe 0.621 0.621 0.621
Fe20 Fe 0.830 0.510 0.830
Fe21 Fe 0.830 0.830 0.510
Fe22 Fe 0.830 0.830 0.830
Fe23 Fe 0.862 0.379 0.379
```

Output
M_tot, μB per formula unit: 33.9
Energy relative to the elements, eV/atom: -0.046
Space group: Fm-3m
Calculated density, Mg/m³: 8.40

VASP calculation (GGA-PBE) on a relaxed structure of Pm2HgC.

```
data_Pm2HgC
_chemical_formula_sum 'Pm2 Hg1 C1'
_symmetry_space_group_name_H-M 'P 1'
_symmetry_Int_Tables_number 1
_cell_length_a 3.312
_cell_length_b 3.312
_cell_length_c 7.795
_cell_angle_alpha 90.00
_cell_angle_beta 90.00
_cell_angle_gamma 90.00
loop_
_symmetry_equiv_pos_as_xyz
'x,y,z'
loop_
_atom_site_label
_atom_site_type_symbol
_atom_site_fract_x
_atom_site_fract_y
_atom_site_fract_z
Pm1 Pm 0.000 0.000 0.185
Pm2 Pm 0.000 0.000 0.815
Hg1 Hg 0.500 0.500 0.500
C1 C 0.500 0.500 0.000
```

Output
M_tot, μB per formula unit: 0.0
Energy relative to the elements, eV/atom: 0.090
Space group: P4/mmm
Calculated density, Mg/m³: 9.76

VASP calculation (GGA-PBE) on a relaxed structure of TbCo2C2.

```
data_TbCo2C2
_chemical_formula_sum 'Tb1 Co2 C2'
_symmetry_space_group_name_H-M 'P 1'
_symmetry_Int_Tables_number 1
_cell_length_a 5.575
_cell_length_b 5.575
_cell_length_c 5.575
_cell_angle_alpha 145.10
_cell_angle_beta 145.10
_cell_angle_gamma 50.19
loop_
_symmetry_equiv_pos_as_xyz
'x,y,z'
loop_
_atom_site_label
_atom_site_type_symbol
_atom_site_fract_x
_atom_site_fract_y
_atom_site_fract_z
Tb1 Tb 0.000 0.000 0.000
Co1 Co 0.250 0.750 0.500
Co2 Co 0.750 0.250 0.500
C1 C 0.351 0.351 0.000
C2 C 0.649 0.649 0.000
```

Output
M_tot, μB per formula unit: 0.0
Energy relative to the elements, eV/atom: -0.145
Space group: I4/mmm
Calculated density, Mg/m³: 8.85

VASP calculation (GGA-PBE) on a relaxed structure of Rb2GaB.

```
data_Rb2GaB
_chemical_formula_sum 'Rb4 Ga2 B2'
_symmetry_space_group_name_H-M 'P 1'
_symmetry_Int_Tables_number 1
_cell_length_a 9.473
_cell_length_b 9.473
_cell_length_c 9.473
_cell_angle_alpha 92.45
_cell_angle_beta 92.45
_cell_angle_gamma 156.15
loop_
_symmetry_equiv_pos_as_xyz
'x,y,z'
loop_
_atom_site_label
_atom_site_type_symbol
_atom_site_fract_x
_atom_site_fract_y
_atom_site_fract_z
Rb1 Rb 0.375 0.161 0.286
Rb2 Rb 0.839 0.125 0.214
Rb3 Rb 0.875 0.089 0.714
Rb4 Rb 0.911 0.625 0.786
Ga1 Ga 0.250 0.750 0.500
Ga2 Ga 0.500 0.500 0.000
B1 B 0.000 0.000 0.000
B2 B 0.750 0.250 0.500
```

Output
M_tot, μB per formula unit: 0.0
Energy relative to the elements, eV/atom: 0.373
Space group: I-42d
Calculated density, Mg/m³: 2.48

VASP calculation (GGA-PBE) on a relaxed structure of KGaC3.

```
data_KGaC3
_chemical_formula_sum 'K1 Ga1 C3'
_symmetry_space_group_name_H-M 'P 1'
_symmetry_Int_Tables_number 1
_cell_length_a 5.490
_cell_length_b 5.490
_cell_length_c 5.490
_cell_angle_alpha 90.00
_cell_angle_beta 90.00
_cell_angle_gamma 90.00
loop_
_symmetry_equiv_pos_as_xyz
'x,y,z'
loop_
_atom_site_label
_atom_site_type_symbol
_atom_site_fract_x
_atom_site_fract_y
_atom_site_fract_z
K1 K 0.000 0.000 0.000
Ga1 Ga 0.500 0.500 0.500
C1 C 0.000 0.000 0.500
C2 C 0.000 0.500 0.000
C3 C 0.500 0.000 0.000
```

Output
M_tot, μB per formula unit: 8.0
Energy relative to the elements, eV/atom: 3.978
Space group: Pm-3m
Calculated density, Mg/m³: 1.45

VASP calculation (GGA-PBE) on a relaxed structure of BaSbAu.

```
data_BaSbAu
_chemical_formula_sum 'Ba2 Sb2 Au2'
_symmetry_space_group_name_H-M 'P 1'
_symmetry_Int_Tables_number 1
_cell_length_a 6.678
_cell_length_b 6.678
_cell_length_c 6.595
_cell_angle_alpha 90.00
_cell_angle_beta 90.00
_cell_angle_gamma 137.91
loop_
_symmetry_equiv_pos_as_xyz
'x,y,z'
loop_
_atom_site_label
_atom_site_type_symbol
_atom_site_fract_x
_atom_site_fract_y
_atom_site_fract_z
Ba1 Ba 0.093 0.907 0.500
Ba2 Ba 0.907 0.093 0.000
Sb1 Sb 0.365 0.635 0.377
Sb2 Sb 0.635 0.365 0.877
Au1 Au 0.204 0.796 0.043
Au2 Au 0.796 0.204 0.543
```

Output
M_tot, μB per formula unit: 0.0
Space group: Cmc2_1
Calculated density, Mg/m³: 7.68
Formation energy (no corrections), eV/atom: -0.754

VASP calculation (GGA-PBE) on a relaxed structure of Nd2NbMoN5.

```
data_Nd2NbMoN5
_chemical_formula_sum 'Nd4 Nb2 Mo2 N10'
_symmetry_space_group_name_H-M 'P 1'
_symmetry_Int_Tables_number 1
_cell_length_a 6.965
_cell_length_b 6.965
_cell_length_c 10.549
_cell_angle_alpha 90.00
_cell_angle_beta 90.00
_cell_angle_gamma 151.98
loop_
_symmetry_equiv_pos_as_xyz
'x,y,z'
loop_
_atom_site_label
_atom_site_type_symbol
_atom_site_fract_x
_atom_site_fract_y
_atom_site_fract_z
Nd1 Nd 0.110 0.890 0.500
Nd2 Nd 0.146 0.854 0.103
Nd3 Nd 0.854 0.146 0.603
Nd4 Nd 0.890 0.110 0.000
Nb1 Nb 0.221 0.779 0.820
Nb2 Nb 0.779 0.221 0.320
Mo1 Mo 0.472 0.528 0.269
Mo2 Mo 0.528 0.472 0.769
N1 N 0.047 0.953 0.857
N2 N 0.283 0.717 0.453
N3 N 0.319 0.681 0.189
N4 N 0.367 0.633 0.809
N5 N 0.490 0.510 0.596
N6 N 0.510 0.490 0.096
N7 N 0.633 0.367 0.309
N8 N 0.681 0.319 0.689
N9 N 0.717 0.283 0.953
N10 N 0.953 0.047 0.357
```

Output
M_tot, μB per formula unit: 0.0
Space group: Cmc2_1
Calculated density, Mg/m³: 7.56
Formation energy (no corrections), eV/atom: -1.015

VASP calculation (GGA-PBE) on a relaxed structure of LaAl2Pd.

```
data_LaAl2Pd
_chemical_formula_sum 'La2 Al4 Pd2'
_symmetry_space_group_name_H-M 'P 1'
_symmetry_Int_Tables_number 1
_cell_length_a 9.223
_cell_length_b 9.223
_cell_length_c 9.223
_cell_angle_alpha 149.26
_cell_angle_beta 149.26
_cell_angle_gamma 44.02
loop_
_symmetry_equiv_pos_as_xyz
'x,y,z'
loop_
_atom_site_label
_atom_site_type_symbol
_atom_site_fract_x
_atom_site_fract_y
_atom_site_fract_z
La1 La 0.000 0.000 0.000
La2 La 0.750 0.250 0.500
Al1 Al 0.331 0.625 0.206
Al2 Al 0.375 0.581 0.706
Al3 Al 0.419 0.125 0.794
Al4 Al 0.875 0.669 0.294
Pd1 Pd 0.250 0.750 0.500
Pd2 Pd 0.500 0.500 0.000
```

Output
M_tot, μB per formula unit: 0.0
Energy relative to the elements, eV/atom: -0.369
Space group: I-42d
Calculated density, Mg/m³: 4.86

VASP calculation (GGA-PBE) on a relaxed structure of PmNdCd2.

```
data_PmNdCd2
_chemical_formula_sum 'Pm1 Nd1 Cd2'
_symmetry_space_group_name_H-M 'P 1'
_symmetry_Int_Tables_number 1
_cell_length_a 5.438
_cell_length_b 5.438
_cell_length_c 5.438
_cell_angle_alpha 60.00
_cell_angle_beta 60.00
_cell_angle_gamma 60.00
loop_
_symmetry_equiv_pos_as_xyz
'x,y,z'
loop_
_atom_site_label
_atom_site_type_symbol
_atom_site_fract_x
_atom_site_fract_y
_atom_site_fract_z
Pm1 Pm 0.000 0.000 0.000
Nd1 Nd 0.500 0.500 0.500
Cd1 Cd 0.250 0.250 0.250
Cd2 Cd 0.750 0.750 0.750
```

Output
M_tot, μB per formula unit: 0.9
Energy relative to the elements, eV/atom: -0.321
Space group: Fm-3m
Calculated density, Mg/m³: 7.51

VASP calculation (GGA-PBE) on a relaxed structure of CeTlPb.

```
data_CeTlPb
_chemical_formula_sum 'Ce2 Tl2 Pb2'
_symmetry_space_group_name_H-M 'P 1'
_symmetry_Int_Tables_number 1
_cell_length_a 8.885
_cell_length_b 8.885
_cell_length_c 8.885
_cell_angle_alpha 149.45
_cell_angle_beta 149.45
_cell_angle_gamma 43.74
loop_
_symmetry_equiv_pos_as_xyz
'x,y,z'
loop_
_atom_site_label
_atom_site_type_symbol
_atom_site_fract_x
_atom_site_fract_y
_atom_site_fract_z
Ce1 Ce 0.149 0.149 0.000
Ce2 Ce 0.851 0.851 0.000
Tl1 Tl 0.000 0.500 0.500
Tl2 Tl 0.500 0.000 0.500
Pb1 Pb 0.344 0.344 0.000
Pb2 Pb 0.656 0.656 0.000
```

Output
M_tot, μB per formula unit: 0.8
Energy relative to the elements, eV/atom: -0.278
Space group: I4/mmm
Calculated density, Mg/m³: 10.14

VASP calculation (GGA-PBE) on a relaxed structure of NbRuI2.

```
data_NbRuI2
_chemical_formula_sum 'Nb1 Ru1 I2'
_symmetry_space_group_name_H-M 'P 1'
_symmetry_Int_Tables_number 1
_cell_length_a 4.844
_cell_length_b 4.844
_cell_length_c 4.844
_cell_angle_alpha 60.00
_cell_angle_beta 60.00
_cell_angle_gamma 60.00
loop_
_symmetry_equiv_pos_as_xyz
'x,y,z'
loop_
_atom_site_label
_atom_site_type_symbol
_atom_site_fract_x
_atom_site_fract_y
_atom_site_fract_z
Nb1 Nb 0.000 0.000 0.000
Ru1 Ru 0.500 0.500 0.500
I1 I 0.250 0.250 0.250
I2 I 0.750 0.750 0.750
```

Output
M_tot, μB per formula unit: 0.0
Space group: Fm-3m
Calculated density, Mg/m³: 9.25
Formation energy (no corrections), eV/atom: 0.780

VASP calculation (GGA-PBE) on a relaxed structure of CaTb6Dy3Y2.

```
data_CaTb6Dy3Y2
_chemical_formula_sum 'Ca1 Tb6 Dy3 Y2'
_symmetry_space_group_name_H-M 'P 1'
_symmetry_Int_Tables_number 1
_cell_length_a 6.199
_cell_length_b 6.199
_cell_length_c 11.841
_cell_angle_alpha 94.98
_cell_angle_beta 94.98
_cell_angle_gamma 119.98
loop_
_symmetry_equiv_pos_as_xyz
'x,y,z'
loop_
_atom_site_label
_atom_site_type_symbol
_atom_site_fract_x
_atom_site_fract_y
_atom_site_fract_z
Ca1 Ca 0.000 0.000 0.000
Tb1 Tb 0.085 0.424 0.254
Tb2 Tb 0.254 0.254 0.746
Tb3 Tb 0.424 0.085 0.254
Tb4 Tb 0.576 0.915 0.746
Tb5 Tb 0.746 0.746 0.254
Tb6 Tb 0.915 0.576 0.746
Dy1 Dy 0.166 0.834 0.500
Dy2 Dy 0.500 0.500 0.500
Dy3 Dy 0.834 0.166 0.500
Y1 Y 0.333 0.667 0.000
Y2 Y 0.667 0.333 0.000
```

Output
M_tot, μB per formula unit: 0.0
Energy relative to the elements, eV/atom: 0.047
Space group: C2/m
Calculated density, Mg/m³: 7.10

VASP calculation (GGA-PBE) on a relaxed structure of Y2AlP.

```
data_Y2AlP
_chemical_formula_sum 'Y2 Al1 P1'
_symmetry_space_group_name_H-M 'P 1'
_symmetry_Int_Tables_number 1
_cell_length_a 3.484
_cell_length_b 3.567
_cell_length_c 7.376
_cell_angle_alpha 90.00
_cell_angle_beta 96.08
_cell_angle_gamma 90.00
loop_
_symmetry_equiv_pos_as_xyz
'x,y,z'
loop_
_atom_site_label
_atom_site_type_symbol
_atom_site_fract_x
_atom_site_fract_y
_atom_site_fract_z
Y1 Y 0.062 0.000 0.274
Y2 Y 0.938 0.000 0.726
Al1 Al 0.500 0.500 0.000
P1 P 0.500 0.500 0.500
```

Output
M_tot, μB per formula unit: 0.0
Energy relative to the elements, eV/atom: -0.726
Space group: P2/m
Calculated density, Mg/m³: 4.30

VASP calculation (GGA-PBE) on a relaxed structure of InAsBr.

```
data_InAsBr
_chemical_formula_sum 'In1 As1 Br1'
_symmetry_space_group_name_H-M 'P 1'
_symmetry_Int_Tables_number 1
_cell_length_a 4.933
_cell_length_b 4.933
_cell_length_c 4.933
_cell_angle_alpha 60.00
_cell_angle_beta 60.00
_cell_angle_gamma 60.00
loop_
_symmetry_equiv_pos_as_xyz
'x,y,z'
loop_
_atom_site_label
_atom_site_type_symbol
_atom_site_fract_x
_atom_site_fract_y
_atom_site_fract_z
In1 In 0.000 0.000 0.000
As1 As 0.750 0.750 0.750
Br1 Br 0.250 0.250 0.250
```

Output
M_tot, μB per formula unit: 0.0
Space group: F-43m
Calculated density, Mg/m³: 5.27
Formation energy (no corrections), eV/atom: 0.182